Entry 1:
# EuGdZnHg (GGA-PBE, relaxed)
data_EuGdZnHg
_cell_length_a 7.507
_cell_length_b 7.507
_cell_length_c 7.507
_cell_angle_alpha 90.00
_cell_angle_beta 90.00
_cell_angle_gamma 90.00
_space_group_name_H-M_alt 'F -4 3 m'
_space_group_IT_number 216
_space_group_name_Hall 'F -4 2 3'
loop_
_atom_site_label
_atom_site_fract_x
_atom_site_fract_y
_atom_site_fract_z
Eu1 0.000 0.000 0.000
Gd1 0.000 0.000 0.500
Zn1 0.250 0.250 0.750
Hg1 0.250 0.250 0.250
# - V: 26.4 A^3/atom
# - E: -27.5 eV/f.u.
# - Size of the total moment: 0.296 μB per cell
# - Calculated formation energy: -390 meV/atom



Entry 2:
# EuGdHo2 (GGA-PBE, relaxed)
data_EuGdHo2
_cell_length_a 5.102
_cell_length_b 5.102
_cell_length_c 5.058
_cell_angle_alpha 90.00
_cell_angle_beta 90.00
_cell_angle_gamma 90.00
_space_group_name_H-M_alt 'P 4/m m m'
_space_group_IT_number 123
_space_group_name_Hall '-P 4 2'
loop_
_atom_site_label
_atom_site_fract_x
_atom_site_fract_y
_atom_site_fract_z
Eu1 0.000 0.000 0.000
Gd1 0.500 0.500 0.000
Ho1 0.000 0.500 0.500
# - V: 32.9 A^3/atom
# - E: -33.1 eV/f.u.
# - Size of the total moment: 0.235 μB per cell
# - Energy above the lowest structure with this stoichiometry: 0.12 eV per formula unit
# - Calculated formation energy: 95 meV/atom



Entry 3:
# Eu2GdHo (GGA-PBE, relaxed)
data_Eu2GdHo
_cell_length_a 3.6760
_cell_length_b 3.6760
_cell_length_c 36.4436
_cell_angle_alpha 90.00
_cell_angle_beta 90.00
_cell_angle_gamma 120.00
_space_group_name_H-M_alt 'R -3 m'
_space_group_IT_number 166
_space_group_name_Hall '-R 3 2"'
loop_
_atom_site_label
_atom_site_fract_x
_atom_site_fract_y
_atom_site_fract_z
Eu1 0.0000 0.0000 0.2504
Gd1 0.0000 0.0000 0.5000
Ho1 0.0000 0.0000 0.0000
# - V: 35.5 A^3/atom
# - E: -38.8 eV/f.u.
# - Size of the total moment: 68.100 μB per cell
# - Energy above the lowest structure with this stoichiometry: 0.00 eV per formula unit
# - Calculated formation energy: 98 meV/atom



Entry 4:
# EuGdHo2 (GGA-PBE, relaxed)
data_EuGdHo2
_cell_length_a 3.612
_cell_length_b 3.612
_cell_length_c 10.236
_cell_angle_alpha 90.00
_cell_angle_beta 90.00
_cell_angle_gamma 90.00
_space_group_name_H-M_alt 'P 4/m m m'
_space_group_IT_number 123
_space_group_name_Hall '-P 4 2'
loop_
_atom_site_label
_atom_site_fract_x
_atom_site_fract_y
_atom_site_fract_z
Eu1 0.000 0.000 0.000
Gd1 0.000 0.000 0.500
Ho1 0.500 0.500 0.264
# - V: 33.4 A^3/atom
# - E: -33.3 eV/f.u.
# - Size of the total moment: 0.359 μB per cell
# - Energy above the lowest structure with this stoichiometry: 0.00 eV per formula unit
# - Calculated formation energy: 64 meV/atom



Entry 5:
# Eu2GdHo (GGA-PBE, relaxed)
data_Eu2GdHo
_cell_length_a 5.874
_cell_length_b 5.874
_cell_length_c 4.106
_cell_angle_alpha 90.00
_cell_angle_beta 90.00
_cell_angle_gamma 90.00
_space_group_name_H-M_alt 'P 4/m m m'
_space_group_IT_number 123
_space_group_name_Hall '-P 4 2'
loop_
_atom_site_label
_atom_site_fract_x
_atom_site_fract_y
_atom_site_fract_z
Eu1 0.000 0.500 0.000
Gd1 0.000 0.000 0.500
Ho1 0.500 0.500 0.500
# - V: 35.4 A^3/atom
# - E: -38.6 eV/f.u.
# - Size of the total moment: 7.244 μB per cell
# - Energy above the lowest structure with this stoichiometry: 0.24 eV per formula unit
# - Calculated formation energy: 158 meV/atom



Entry 6:
# EuGdHo2 (GGA-PBE, relaxed)
data_EuGdHo2
_cell_length_a 8.118
_cell_length_b 8.118
_cell_length_c 8.118
_cell_angle_alpha 90.00
_cell_angle_beta 90.00
_cell_angle_gamma 90.00
_space_group_name_H-M_alt 'F m -3 m'
_space_group_IT_number 225
_space_group_name_Hall '-F 4 2 3'
loop_
_atom_site_label
_atom_site_fract_x
_atom_site_fract_y
_atom_site_fract_z
Eu1 0.000 0.000 0.000
Gd1 0.000 0.000 0.500
Ho1 0.250 0.250 0.250
# - V: 33.4 A^3/atom
# - E: -32.9 eV/f.u.
# - Size of the total moment: 60.810 μB per cell
# - Energy above the lowest structure with this stoichiometry: 0.34 eV per formula unit
# - Calculated formation energy: 149 meV/atom



Entry 7:
# LaEuGdHo (GGA-PBE, relaxed)
data_LaEuGdHo
_cell_length_a 8.264
_cell_length_b 8.264
_cell_length_c 8.264
_cell_angle_alpha 90.00
_cell_angle_beta 90.00
_cell_angle_gamma 90.00
_space_group_name_H-M_alt 'F -4 3 m'
_space_group_IT_number 216
_space_group_name_Hall 'F -4 2 3'
loop_
_atom_site_label
_atom_site_fract_x
_atom_site_fract_y
_atom_site_fract_z
La1 0.000 0.000 0.000
Eu1 0.250 0.250 0.250
Gd1 0.000 0.000 0.500
Ho1 0.250 0.250 0.750
# - V: 35.3 A^3/atom
# - E: -33.3 eV/f.u.
# - Size of the total moment: 0.454 μB per cell
# - Calculated formation energy: 132 meV/atom



Entry 8:
# PmEuGdHo (GGA-PBE, relaxed)
data_PmEuGdHo
_cell_length_a 8.185
_cell_length_b 8.185
_cell_length_c 8.185
_cell_angle_alpha 90.00
_cell_angle_beta 90.00
_cell_angle_gamma 90.00
_space_group_name_H-M_alt 'F -4 3 m'
_space_group_IT_number 216
_space_group_name_Hall 'F -4 2 3'
loop_
_atom_site_label
_atom_site_fract_x
_atom_site_fract_y
_atom_site_fract_z
Pm1 0.000 0.000 0.000
Eu1 0.250 0.250 0.750
Gd1 0.250 0.250 0.250
Ho1 0.000 0.000 0.500
# - V: 34.3 A^3/atom
# - E: -33.1 eV/f.u.
# - Size of the total moment: 4.579 μB per cell
# - Calculated formation energy: 154 meV/atom



Entry 9:
# PrEuGdHo (GGA-PBE, relaxed)
data_PrEuGdHo
_cell_length_a 8.233
_cell_length_b 8.233
_cell_length_c 8.233
_cell_angle_alpha 90.00
_cell_angle_beta 90.00
_cell_angle_gamma 90.00
_space_group_name_H-M_alt 'F -4 3 m'
_space_group_IT_number 216
_space_group_name_Hall 'F -4 2 3'
loop_
_atom_site_label
_atom_site_fract_x
_atom_site_fract_y
_atom_site_fract_z
Pr1 0.000 0.000 0.000
Eu1 0.250 0.250 0.750
Gd1 0.000 0.000 0.500
Ho1 0.250 0.250 0.250
# - V: 34.9 A^3/atom
# - E: -33.2 eV/f.u.
# - Size of the total moment: 0.516 μB per cell
# - Calculated formation energy: 136 meV/atom



Entry 10:
# EuGdHoSc (GGA-PBE, relaxed)
data_EuGdHoSc
_cell_length_a 7.942
_cell_length_b 7.942
_cell_length_c 7.942
_cell_angle_alpha 90.00
_cell_angle_beta 90.00
_cell_angle_gamma 90.00
_space_group_name_H-M_alt 'F -4 3 m'
_space_group_IT_number 216
_space_group_name_Hall 'F -4 2 3'
loop_
_atom_site_label
_atom_site_fract_x
_atom_site_fract_y
_atom_site_fract_z
Eu1 0.000 0.000 0.000
Gd1 0.000 0.000 0.500
Ho1 0.250 0.250 0.750
Sc1 0.250 0.250 0.250
# - V: 31.3 A^3/atom
# - E: -34.6 eV/f.u.
# - Size of the total moment: 59.369 μB per cell
# - Calculated formation energy: 169 meV/atom



Entry 11:
# EuGdIn2 (GGA-PBE, relaxed)
data_EuGdIn2
_cell_length_a 3.7174
_cell_length_b 3.7174
_cell_length_c 30.7623
_cell_angle_alpha 90.00
_cell_angle_beta 90.00
_cell_angle_gamma 120.00
_space_group_name_H-M_alt 'R -3 m'
_space_group_IT_number 166
_space_group_name_Hall '-R 3 2"'
loop_
_atom_site_label
_atom_site_fract_x
_atom_site_fract_y
_atom_site_fract_z
Eu1 0.0000 0.0000 0.0000
Gd1 0.0000 0.0000 0.5000
In1 0.0000 0.0000 0.2478
# - V: 30.7 A^3/atom
# - E: -31.0 eV/f.u.
# - Size of the total moment: 0.543 μB per cell
# - Energy above the lowest structure with this stoichiometry: 0.60 eV per formula unit
# - Calculated formation energy: -293 meV/atom



Entry 12:
# Eu2GdIn (GGA-PBE, relaxed)
data_Eu2GdIn
_cell_length_a 8.019
_cell_length_b 8.019
_cell_length_c 8.019
_cell_angle_alpha 90.00
_cell_angle_beta 90.00
_cell_angle_gamma 90.00
_space_group_name_H-M_alt 'F m -3 m'
_space_group_IT_number 225
_space_group_name_Hall '-F 4 2 3'
loop_
_atom_site_label
_atom_site_fract_x
_atom_site_fract_y
_atom_site_fract_z
Eu1 0.250 0.250 0.250
Gd1 0.000 0.000 0.000
In1 0.000 0.000 0.500
# - V: 32.2 A^3/atom
# - E: -37.8 eV/f.u.
# - Size of the total moment: 28.599 μB per cell
# - Energy above the lowest structure with this stoichiometry: 0.40 eV per formula unit
# - Calculated formation energy: -101 meV/atom



Entry 13:
# Eu2GdIn (GGA-PBE, relaxed)
data_Eu2GdIn
_cell_length_a 4.928
_cell_length_b 4.928
_cell_length_c 5.233
_cell_angle_alpha 90.00
_cell_angle_beta 90.00
_cell_angle_gamma 90.00
_space_group_name_H-M_alt 'P 4/m m m'
_space_group_IT_number 123
_space_group_name_Hall '-P 4 2'
loop_
_atom_site_label
_atom_site_fract_x
_atom_site_fract_y
_atom_site_fract_z
Eu1 0.000 0.500 0.000
Gd1 0.000 0.000 0.500
In1 0.500 0.500 0.500
# - V: 31.8 A^3/atom
# - E: -38.2 eV/f.u.
# - Size of the total moment: 7.094 μB per cell
# - Energy above the lowest structure with this stoichiometry: 0.00 eV per formula unit
# - Calculated formation energy: -201 meV/atom



Entry 14:
# EuGdIn4 (GGA-PBE, relaxed)
data_EuGdIn4
_cell_length_a 8.627
_cell_length_b 8.627
_cell_length_c 8.627
_cell_angle_alpha 90.00
_cell_angle_beta 90.00
_cell_angle_gamma 90.00
_space_group_name_H-M_alt 'F -4 3 m'
_space_group_IT_number 216
_space_group_name_Hall 'F -4 2 3'
loop_
_atom_site_label
_atom_site_fract_x
_atom_site_fract_y
_atom_site_fract_z
Eu1 0.000 0.000 0.000
Gd1 0.250 0.250 0.750
In1 0.125 0.125 0.375
# - V: 26.7 A^3/atom
# - E: -37.6 eV/f.u.
# - Size of the total moment: 59.543 μB per cell
# - Calculated formation energy: -388 meV/atom



Entry 15:
# Eu2GdIn (GGA-PBE, relaxed)
data_Eu2GdIn
_cell_length_a 3.597
_cell_length_b 3.597
_cell_length_c 10.462
_cell_angle_alpha 90.00
_cell_angle_beta 90.00
_cell_angle_gamma 90.00
_space_group_name_H-M_alt 'P 4/m m m'
_space_group_IT_number 123
_space_group_name_Hall '-P 4 2'
loop_
_atom_site_label
_atom_site_fract_x
_atom_site_fract_y
_atom_site_fract_z
Eu1 0.000 0.000 0.222
Gd1 0.500 0.500 0.500
In1 0.500 0.500 0.000
# - V: 33.8 A^3/atom
# - E: -37.9 eV/f.u.
# - Size of the total moment: 6.746 μB per cell
# - Energy above the lowest structure with this stoichiometry: 0.23 eV per formula unit
# - Calculated formation energy: -143 meV/atom



Entry 16:
# EuGdIn2 (GGA-PBE, relaxed)
data_EuGdIn2
_cell_length_a 5.059
_cell_length_b 5.059
_cell_length_c 4.466
_cell_angle_alpha 90.00
_cell_angle_beta 90.00
_cell_angle_gamma 90.00
_space_group_name_H-M_alt 'P 4/m m m'
_space_group_IT_number 123
_space_group_name_Hall '-P 4 2'
loop_
_atom_site_label
_atom_site_fract_x
_atom_site_fract_y
_atom_site_fract_z
Eu1 0.000 0.000 0.000
Gd1 0.500 0.500 0.000
In1 0.000 0.500 0.500
# - V: 28.6 A^3/atom
# - E: -31.6 eV/f.u.
# - Size of the total moment: 0.009 μB per cell
# - Energy above the lowest structure with this stoichiometry: 0.00 eV per formula unit
# - Calculated formation energy: -443 meV/atom



Entry 17:
# EuGd2In (GGA-PBE, relaxed)
data_EuGd2In
_cell_length_a 4.985
_cell_length_b 4.985
_cell_length_c 4.919
_cell_angle_alpha 90.00
_cell_angle_beta 90.00
_cell_angle_gamma 90.00
_space_group_name_H-M_alt 'P 4/m m m'
_space_group_IT_number 123
_space_group_name_Hall '-P 4 2'
loop_
_atom_site_label
_atom_site_fract_x
_atom_site_fract_y
_atom_site_fract_z
Eu1 0.000 0.000 0.000
Gd1 0.000 0.500 0.500
In1 0.500 0.500 0.000
# - V: 30.6 A^3/atom
# - E: -42.1 eV/f.u.
# - Size of the total moment: 7.659 μB per cell
# - Energy above the lowest structure with this stoichiometry: 0.00 eV per formula unit
# - Calculated formation energy: -226 meV/atom



Entry 18:
# EuGd2In (GGA-PBE, relaxed)
data_EuGd2In
_cell_length_a 3.605
_cell_length_b 3.605
_cell_length_c 9.868
_cell_angle_alpha 90.00
_cell_angle_beta 90.00
_cell_angle_gamma 90.00
_space_group_name_H-M_alt 'P 4/m m m'
_space_group_IT_number 123
_space_group_name_Hall '-P 4 2'
loop_
_atom_site_label
_atom_site_fract_x
_atom_site_fract_y
_atom_site_fract_z
Eu1 0.000 0.000 0.000
Gd1 0.500 0.500 0.290
In1 0.000 0.000 0.500
# - V: 32.1 A^3/atom
# - E: -41.9 eV/f.u.
# - Size of the total moment: 7.472 μB per cell
# - Energy above the lowest structure with this stoichiometry: 0.18 eV per formula unit
# - Calculated formation energy: -180 meV/atom



Entry 19:
# EuGd2In (GGA-PBE, relaxed)
data_EuGd2In
_cell_length_a 7.829
_cell_length_b 7.829
_cell_length_c 7.829
_cell_angle_alpha 90.00
_cell_angle_beta 90.00
_cell_angle_gamma 90.00
_space_group_name_H-M_alt 'F m -3 m'
_space_group_IT_number 225
_space_group_name_Hall '-F 4 2 3'
loop_
_atom_site_label
_atom_site_fract_x
_atom_site_fract_y
_atom_site_fract_z
Eu1 0.000 0.000 0.000
Gd1 0.250 0.250 0.250
In1 0.000 0.000 0.500
# - V: 30.0 A^3/atom
# - E: -41.8 eV/f.u.
# - Size of the total moment: 30.723 μB per cell
# - Energy above the lowest structure with this stoichiometry: 0.32 eV per formula unit
# - Calculated formation energy: -147 meV/atom



Entry 20:
# LiEuGdIn (GGA-PBE, relaxed)
data_LiEuGdIn
_cell_length_a 7.729
_cell_length_b 7.729
_cell_length_c 7.729
_cell_angle_alpha 90.00
_cell_angle_beta 90.00
_cell_angle_gamma 90.00
_space_group_name_H-M_alt 'F -4 3 m'
_space_group_IT_number 216
_space_group_name_Hall 'F -4 2 3'
loop_
_atom_site_label
_atom_site_fract_x
_atom_site_fract_y
_atom_site_fract_z
Li1 0.000 0.000 0.000
Eu1 0.250 0.250 0.750
Gd1 0.250 0.250 0.250
In1 0.000 0.000 0.500
# - V: 28.9 A^3/atom
# - E: -29.9 eV/f.u.
# - Size of the total moment: 1.116 μB per cell
# - Calculated formation energy: -235 meV/atom